(1)
4
Lattice="0.000 3.766 3.766 3.766 0.000 3.766 3.766 3.766 0.000" Properties=species:S:1:pos:R:3 comment="CdFeI2 (PBE-GGA, optimized geometry)" volume_a3_per_cell=107 density_g_cm3=6.6 energy_ev_per_cell=-10.49 total_magnetization_mub_per_cell=3.4 n_ef_per_ev_atom=0.486 pbc="T T T"
I 5.649 5.649 5.649
I 1.883 1.883 1.883
Fe 0.000 0.000 0.000
Cd 3.766 3.766 3.766



(2)
5
Lattice="-2.427 4.626 0.735 -3.750 -1.423 -3.427 -2.806 -2.099 3.943" Properties=species:S:1:pos:R:3 comment="BaHf3Ag (PBE-GGA, optimized geometry)" volume_a3_per_cell=147 density_g_cm3=8.8 ef_mev_per_atom=2122 energy_ev_per_cell=-24.02 total_magnetization_mub_per_cell=0.0 n_ef_per_ev_atom=2.185 pbc="T T T"
Ag -4.492 0.552 0.626
Hf -1.875 -0.712 -1.713
Hf -1.214 2.313 0.367
Hf -1.403 -1.050 1.971
Ba 0.000 0.000 0.000



(3)
6
Lattice="-1.881 -3.763 -2.592 -1.471 -4.108 2.320 -4.815 -1.063 0.327" Properties=species:S:1:pos:R:3 comment="TmCr4Re (PBE-GGA, optimized geometry)" volume_a3_per_cell=85 density_g_cm3=11.0 ef_mev_per_atom=159 energy_ev_per_cell=-54.46 total_magnetization_mub_per_cell=0.0 n_ef_per_ev_atom=0.809 pbc="T T T"
Re 0.000 0.000 0.000
Cr -2.687 -5.056 -0.130
Cr -4.371 -3.523 -1.134
Cr -4.164 -3.697 1.340
Cr -5.112 -5.592 0.035
Tm -2.042 -2.234 0.014



(4)
7
Lattice="4.182 -0.001 -0.938 -2.554 5.610 -1.598 -0.227 0.100 8.781" Properties=species:S:1:pos:R:3 comment="Nd2Sm3Ge2 (PBE-GGA, optimized geometry)" volume_a3_per_cell=206 density_g_cm3=7.1 ef_mev_per_atom=-518 energy_ev_per_cell=-36.55 total_magnetization_mub_per_cell=0.0 n_ef_per_ev_atom=0.994 pbc="T T T"
Nd 0.134 2.795 0.596
Nd 1.267 2.914 5.649
Ge -2.112 4.877 0.374
Ge 3.513 0.832 5.870
Sm -1.429 4.648 3.416
Sm 2.831 1.061 2.828
Sm 2.091 0.000 -0.469



(5)
11
Lattice="6.305 -0.086 -0.126 -2.991 5.551 0.126 -2.991 -1.924 5.208" Properties=species:S:1:pos:R:3 comment="Zn6Cu4Au (PBE-GGA, optimized geometry)" volume_a3_per_cell=180 density_g_cm3=7.8 ef_mev_per_atom=77 energy_ev_per_cell=-26.46 total_magnetization_mub_per_cell=0.0 n_ef_per_ev_atom=0.225 pbc="T T T"
Zn 3.644 0.364 0.535
Zn 1.657 2.733 0.000
Zn -4.353 3.803 3.091
Zn 1.657 -1.005 2.541
Zn -4.353 1.476 4.673
Zn -0.597 1.526 2.244
Au 0.000 0.000 0.000
Cu -2.641 0.284 3.251
Cu 1.796 1.331 1.957
Cu -2.173 2.635 3.875
Cu -2.641 2.919 1.459



(6)
5
Lattice="5.110 0.000 0.000 0.000 5.110 0.000 0.000 0.000 5.110" Properties=species:S:1:pos:R:3 comment="InSi3S (PBE-GGA, optimized geometry)" volume_a3_per_cell=133 density_g_cm3=2.9 energy_ev_per_cell=-15.90 total_magnetization_mub_per_cell=0.0 n_ef_per_ev_atom=0.487 pbc="T T T"
Si 0.000 2.555 0.000
Si 2.555 0.000 0.000
Si 0.000 0.000 2.555
In 0.000 0.000 0.000
S 2.555 2.555 2.555



(7)
6
Lattice="0.000 3.650 3.650 3.650 0.000 3.650 3.650 3.650 0.000" Properties=species:S:1:pos:R:3 comment="CuOs4Au (PBE-GGA, optimized geometry)" volume_a3_per_cell=97 density_g_cm3=17.4 ef_mev_per_atom=965 energy_ev_per_cell=-46.50 total_magnetization_mub_per_cell=0.0 n_ef_per_ev_atom=1.222 pbc="T T T"
Cu 0.000 0.000 0.000
Os 4.562 2.737 4.562
Os 4.562 4.562 2.737
Os 2.737 4.562 4.562
Os 2.737 2.737 2.737
Au 5.474 5.474 5.474



(8)
5
Lattice="-4.986 0.115 0.245 -0.028 -4.337 1.458 0.268 1.588 4.727" Properties=species:S:1:pos:R:3 comment="LaCrAsAu2 (PBE-GGA, optimized geometry)" volume_a3_per_cell=114 density_g_cm3=9.6 ef_mev_per_atom=7 energy_ev_per_cell=-25.72 total_magnetization_mub_per_cell=3.2 n_ef_per_ev_atom=0.827 pbc="T T T"
Au 0.134 0.794 2.363
Au -2.493 0.057 0.122
Cr -0.014 -2.168 0.729
La -2.373 -1.317 3.215
As 0.000 0.000 0.000



(9)
5
Lattice="6.178 0.000 0.000 0.000 6.178 0.000 0.000 0.000 6.178" Properties=species:S:1:pos:R:3 comment="K3NiOs (PBE-GGA, optimized geometry)" volume_a3_per_cell=236 density_g_cm3=2.6 ef_mev_per_atom=1642 energy_ev_per_cell=-12.09 total_magnetization_mub_per_cell=3.0 n_ef_per_ev_atom=3.629 pbc="T T T"
K 0.000 3.089 0.000
K 0.000 0.000 3.089
K 3.089 0.000 0.000
Os 0.000 0.000 0.000
Ni 3.089 3.089 3.089



(10)
4
Lattice="-1.636 4.473 -1.732 -2.484 -3.728 -0.909 -2.019 0.619 1.416" Properties=species:S:1:pos:R:3 comment="LiAlCo2 (PBE-GGA, optimized geometry)" volume_a3_per_cell=47 density_g_cm3=5.3 ef_mev_per_atom=-56 energy_ev_per_cell=-20.09 total_magnetization_mub_per_cell=2.4 n_ef_per_ev_atom=0.811 pbc="T T T"
Co -1.828 2.546 -0.158
Co 0.000 0.000 0.000
Li -2.251 -1.554 0.253
Al -2.060 0.373 -1.321



(11)
4
Lattice="-2.153 -3.121 2.063 0.876 -4.143 -0.839 4.424 -2.421 5.469" Properties=species:S:1:pos:R:3 comment="ErTmTe2 (PBE-GGA, optimized geometry)" volume_a3_per_cell=113 density_g_cm3=8.7 energy_ev_per_cell=-20.07 total_magnetization_mub_per_cell=0.0 n_ef_per_ev_atom=0.550 pbc="T T T"
Tm 0.000 0.000 0.000
Er 1.573 -4.843 3.347
Te 2.368 -7.264 5.029
Te 0.778 -2.421 1.665



(12)
13
Lattice="-4.263 -2.931 -1.860 -0.166 -3.878 6.490 -6.452 8.910 0.747" Properties=species:S:1:pos:R:3 comment="Nd2Ho8Tm3 (PBE-GGA, optimized geometry)" volume_a3_per_cell=430 density_g_cm3=8.2 ef_mev_per_atom=239 energy_ev_per_cell=-56.47 total_magnetization_mub_per_cell=0.0 n_ef_per_ev_atom=1.682 pbc="T T T"
Ho -5.931 -1.152 -0.841
Ho -3.634 -2.756 4.547
Ho -4.950 3.253 6.218
Ho -7.246 4.857 0.831
Ho -8.700 1.804 0.850
Ho -7.317 3.203 3.600
Ho -2.180 0.297 4.528
Ho -3.563 -1.102 1.777
Tm -10.832 3.206 3.527
Tm -0.048 -1.105 1.851
Tm -2.131 -1.465 -0.930
Nd -5.607 0.214 4.389
Nd -5.273 1.887 0.989



Q: Which formula does entry 2 have?
A: BaHf3Ag